1.
The following is a PBE-GGA calculation of crystalline Ta2SnAsPb at its relaxed geometry, from Alexandria.

a = 5.1653 Å, b = 5.1653 Å, c = 5.5858 Å
α = 90.00°, β = 90.00°, γ = 90.00°
Closest atoms and distances in Å follow each position.
Space group P4/mmm (No. 123)
Unique sites:
Ta  0.0000  0.5000  0.0000 (multiplicity 2)  2 Sn 2.58
Sn  0.0000  0.0000  0.0000 (multiplicity 1)  4 Ta 2.58, 2 Pb 2.79
As  0.5000  0.5000  0.5000 (multiplicity 1)  4 Pb 3.65, 8 Ta 3.80
Pb  0.0000  0.0000  0.5000 (multiplicity 1)  2 Sn 2.79

## Properties
Crystal system: tetragonal
Size of the total moment: 1.93 Bohr magnetons per cell

2.
The following is a PBE-GGA calculation of crystalline TlSn2AsPb at its relaxed geometry, from Alexandria.

a = 5.7227 Å, b = 5.7227 Å, c = 5.3235 Å
α = 90.00°, β = 90.00°, γ = 90.00°
Closest atoms and distances in Å follow each position.
Space group P4/mmm (No. 123)
Unique sites:
Tl  0.0000  0.0000  0.0000 (multiplicity 1)  2 As 2.66, 4 Sn 2.86
Sn  0.0000  0.5000  0.0000 (multiplicity 2)  2 Tl 2.86
As  0.0000  0.0000  0.5000 (multiplicity 1)  2 Tl 2.66
Pb  0.5000  0.5000  0.5000 (multiplicity 1)  8 Sn 3.91, 4 As 4.05

## Properties
Crystal system: tetragonal
Size of the total moment: 0.00 Bohr magnetons per cell

3.
The following is a PBE-GGA calculation of crystalline SrAs2Pb2 at its relaxed geometry, from Alexandria.

a = 5.5606 Å, b = 5.5606 Å, c = 10.1054 Å
α = 90.00°, β = 90.00°, γ = 90.00°
Closest atoms and distances in Å follow each position.
Space group I4/mmm (No. 139)
Unique sites:
Sr  0.0000  0.0000  0.0000 (multiplicity 2)  2 Pb 3.49, 8 As 3.76
As  0.0000  0.5000  0.2500 (multiplicity 4)  4 Pb 2.94
Pb  0.0000  0.0000  0.3451 (multiplicity 4)  4 As 2.94, 1 Pb 3.13

## Properties
Crystal system: tetragonal
Size of the total moment: 0.00 Bohr magnetons per cell

4.
The following is a PBE-GGA calculation of crystalline SrAs2Pb at its relaxed geometry, from Alexandria.

a = 7.5678 Å, b = 7.5678 Å, c = 9.2643 Å
α = 90.00°, β = 90.00°, γ = 90.00°
Closest atoms and distances in Å follow each position.
Space group I-42d (No. 122)
Unique sites:
Sr  0.0000  0.0000  0.0000 (multiplicity 4)  4 As 3.14
As  0.2063  0.2500  0.6250 (multiplicity 8)  2 Pb 2.71
Pb  0.0000  0.0000  0.5000 (multiplicity 4)  4 As 2.71

## Properties
Crystal system: tetragonal
Size of the total moment: 0.00 Bohr magnetons per cell

VASP energy, record by record: -5.332 -3.045 -3.924 -4.017 eV/atom